(1)
Density functional theory data (GGA-PBE) for a relaxed AgBiSb crystal.

- energy relative to the elements, uncorrected (eV/f.u.) = 0.38
- offset from the most stable computed form (meV per atom) = 25.7
- theoretical density (g/cm³) = 8.77
- DOS at the Fermi energy (states/eV/atom) = 0.486
- magnetic moment (μB per cell) = 0.000

a = 4.350 Å, b = 4.350 Å, c = 5.067 Å
α = 90.00°, β = 90.00°, γ = 120.00°
Element x y z (fractional)
Ag (0.000, 0.000, 0.000)
Bi (0.333, 0.667, 0.659)
Sb (0.667, 0.333, 0.288)

(2)
Density functional theory data (GGA-PBE) for a relaxed Ag7Sn2BiSb2 crystal.

- energy relative to the elements, uncorrected (eV/f.u.) = 1.35
- theoretical density (g/cm³) = 8.63
- DOS at the Fermi energy (states/eV/atom) = 0.346
- magnetic moment (μB per cell) = 0.000

a = 4.240 Å, b = 4.240 Å, c = 15.728 Å
α = 97.50°, β = 97.50°, γ = 89.68°
Element x y z (fractional)
Ag (0.000, 0.000, 0.000)
Ag (0.072, 0.573, 0.149)
Ag (0.233, 0.233, 0.468)
Ag (0.427, 0.928, 0.851)
Ag (0.573, 0.072, 0.149)
Ag (0.767, 0.767, 0.532)
Ag (0.928, 0.427, 0.851)
Sn (0.328, 0.328, 0.648)
Sn (0.672, 0.672, 0.352)
Bi (0.500, 0.500, 0.000)
Sb (0.137, 0.137, 0.281)
Sb (0.863, 0.863, 0.719)

(3)
Density functional theory data (GGA-PBE) for a relaxed AgBi2SbTe4 crystal.

- energy relative to the elements, uncorrected (eV/f.u.) = -0.68
- theoretical density (g/cm³) = 7.64
- DOS at the Fermi energy (states/eV/atom) = 0.369
- magnetic moment (μB per cell) = 0.000

a = 7.728 Å, b = 4.375 Å, c = 7.815 Å
α = 90.00°, β = 107.60°, γ = 90.00°
Element x y z (fractional)
Ag (0.000, 0.000, 0.000)
Bi (0.000, 0.500, 0.500)
Bi (0.500, 0.000, 0.500)
Sb (0.500, 0.500, 0.000)
Te (0.243, 0.500, 0.237)
Te (0.249, 0.000, 0.761)
Te (0.751, 0.000, 0.239)
Te (0.757, 0.500, 0.763)

(4)
Density functional theory data (GGA-PBE) for a relaxed AgBiSbTe2 crystal.

- energy relative to the elements, uncorrected (eV/f.u.) = 2.42
- offset from the most stable computed form (meV per atom) = 0.0
- theoretical density (g/cm³) = 7.31
- DOS at the Fermi energy (states/eV/atom) = 0.907
- magnetic moment (μB per cell) = 0.000

a = 5.442 Å, b = 5.442 Å, c = 5.325 Å
α = 90.00°, β = 90.00°, γ = 90.00°
Element x y z (fractional)
Ag (0.000, 0.000, 0.000)
Bi (0.500, 0.500, 0.500)
Sb (0.000, 0.000, 0.500)
Te (0.000, 0.500, 0.000)
Te (0.500, 0.000, 0.000)